Crystalline Dy3ScTl4 at its relaxed geometry, computed with PBE-GGA.

a b c (Å): 6.4830 6.4744 10.4171
angles (deg): 90.00 90.00 90.00
Atoms (fractional coordinates):
Dy 0.7538 0.9435 0.0000
Dy 0.0644 0.7376 0.2537
Dy 0.5644 0.2624 0.2463
Dy 0.2538 0.0565 0.5000
Dy 0.5644 0.2624 0.7537
Dy 0.0644 0.7376 0.7463
Sc 0.8813 0.4501 0.0000
Sc 0.3813 0.5499 0.5000
Tl 0.2623 0.9862 0.0000
Tl 0.3663 0.4934 0.0000
Tl 0.0614 0.2413 0.2404
Tl 0.5614 0.7587 0.2596
Tl 0.8663 0.5066 0.5000
Tl 0.7623 0.0138 0.5000
Tl 0.5614 0.7587 0.7404
Tl 0.0614 0.2413 0.7596

Properties
**Total energy**: -3.9062 eV per atom
**Formation enthalpy at 0 K**: -1.6 eV/f.u.
**Total moment**: 0.0 μB per formula unit
**Relative energy among the computed polymorphs**: 91 kJ/mol of formula units
**Density of states at the Fermi level**: 0.8656 states/eV/atom



Crystalline Dy2ScTl at its relaxed geometry, computed with PBE-GGA.

a b c (Å): 5.2539 6.5172 6.5989
angles (deg): 100.03 90.00 90.00
Atoms (fractional coordinates):
Dy 0.2500 0.9309 0.6516
Dy 0.7500 0.0691 0.3484
Dy 0.2500 0.7021 0.1338
Dy 0.7500 0.2979 0.8662
Sc 0.2500 0.4151 0.5728
Sc 0.7500 0.5849 0.4272
Tl 0.2500 0.2198 0.1258
Tl 0.7500 0.7802 0.8742

Properties
**Total energy**: -4.6603 eV per atom
**Formation enthalpy at 0 K**: -0.7 eV/f.u.
**Total moment**: 0.0 μB per formula unit
**Relative energy among the computed polymorphs**: 0 kJ/mol of formula units
**Density of states at the Fermi level**: 0.9697 states/eV/atom



Crystalline Dy3Sc4Tl4 at its relaxed geometry, computed with PBE-GGA.

a b c (Å): 4.5654 8.1520 9.2458
angles (deg): 116.16 104.29 90.00
Each line ends with the local moment (μB).
Atoms (fractional coordinates):
Dy 0.1185 0.1185 0.2370  0.10
Dy 0.8815 0.8815 0.7630  0.10
Dy 0.0000 0.5000 0.0000  0.10
Sc 0.3270 0.1280 0.6541  0.21
Sc 0.6730 0.4740 0.3459  0.21
Sc 0.6730 0.8720 0.3459  0.21
Sc 0.3270 0.5260 0.6541  0.21
Tl 0.2219 0.7219 0.4438  -0.01
Tl 0.7781 0.2781 0.5562  -0.01
Tl 0.5000 0.8034 0.0000  0.00
Tl 0.5000 0.1966 0.0000  0.00

Properties
**Total energy**: -4.6133 eV per atom
**Formation enthalpy at 0 K**: -2.1 eV/f.u.
**Total moment**: 1.9 μB per formula unit
**Density of states at the Fermi level**: 0.8728 states/eV/atom



Crystalline Dy12ScTl3 at its relaxed geometry, computed with PBE-GGA.

a b c (Å): 4.8436 4.8436 19.6814
angles (deg): 90.00 90.00 90.00
Atoms (fractional coordinates):
Dy 0.5000 0.5000 0.0000
Dy 0.5000 0.5000 0.2518
Dy 0.5000 0.5000 0.5000
Dy 0.5000 0.5000 0.7482
Dy 0.5000 0.0000 0.1259
Dy 0.5000 0.0000 0.3759
Dy 0.5000 0.0000 0.6241
Dy 0.5000 0.0000 0.8741
Dy 0.0000 0.5000 0.1259
Dy 0.0000 0.5000 0.3759
Dy 0.0000 0.5000 0.6241
Dy 0.0000 0.5000 0.8741
Sc 0.0000 0.0000 0.0000
Tl 0.0000 0.0000 0.2544
Tl 0.0000 0.0000 0.5000
Tl 0.0000 0.0000 0.7456

Properties
**Total energy**: -4.4172 eV per atom
**Formation enthalpy at 0 K**: -2.0 eV/f.u.
**Total moment**: 0.0 μB per formula unit
**Density of states at the Fermi level**: 1.3487 states/eV/atom



Crystalline Dy2Sc3Tl at its relaxed geometry, computed with PBE-GGA.

a b c (Å): 5.1930 3.7385 8.3815
angles (deg): 102.89 90.00 90.00
Atoms (fractional coordinates):
Dy 0.0000 0.6628 0.3256
Dy 0.0000 0.3372 0.6744
Sc 0.5000 0.1727 0.3455
Sc 0.5000 0.5000 0.0000
Sc 0.5000 0.8273 0.6545
Tl 0.0000 0.0000 0.0000

Properties
**Total energy**: -5.1406 eV per atom
**Formation enthalpy at 0 K**: -0.3 eV/f.u.
**Total moment**: 0.0 μB per formula unit
**Relative energy among the computed polymorphs**: 0 kJ/mol of formula units
**Density of states at the Fermi level**: 1.1009 states/eV/atom



Crystalline DySc2Tl at its relaxed geometry, computed with PBE-GGA.

a b c (Å): 4.5520 4.4048 10.7919
angles (deg): 101.70 90.00 90.00
Atoms (fractional coordinates):
Dy 0.2500 0.3102 0.6189
Dy 0.7500 0.6898 0.3811
Sc 0.7500 0.4464 0.8920
Sc 0.2500 0.5536 0.1080
Sc 0.2500 0.9378 0.8748
Sc 0.7500 0.0622 0.1252
Tl 0.7500 0.8413 0.6804
Tl 0.2500 0.1587 0.3196

Properties
**Total energy**: -5.0863 eV per atom
**Formation enthalpy at 0 K**: -0.7 eV/f.u.
**Total moment**: 0.0 μB per formula unit
**Relative energy among the computed polymorphs**: 0 kJ/mol of formula units
**Density of states at the Fermi level**: 1.3938 states/eV/atom



Crystalline Dy6ScTl4 at its relaxed geometry, computed with PBE-GGA.

a b c (Å): 9.4003 9.4003 9.4003
angles (deg): 56.95 140.60 140.60
Each line ends with the local moment (μB).
Atoms (fractional coordinates):
Dy 0.0000 0.9142 0.4440  0.10
Dy 0.0000 0.4440 0.9142  0.10
Dy 0.5298 0.0858 0.0858  0.10
Dy 0.5000 0.0000 0.5000  0.17
Dy 0.4702 0.5560 0.5560  0.10
Dy 0.5000 0.5000 0.0000  0.17
Sc 0.0000 0.0000 0.0000  0.21
Tl 0.0000 0.1045 0.6292  -0.01
Tl 0.4753 0.3708 0.3708  -0.01
Tl 0.0000 0.6292 0.1045  -0.01
Tl 0.5247 0.8955 0.8955  -0.01

Properties
**Total energy**: -4.0968 eV per atom
**Formation enthalpy at 0 K**: -1.7 eV/f.u.
**Total moment**: 1.5 μB per formula unit
**Density of states at the Fermi level**: 0.9081 states/eV/atom



Crystalline DySc2Tl at its relaxed geometry, computed with PBE-GGA.

a b c (Å): 3.4155 3.4155 10.6266
angles (deg): 80.75 80.75 60.00
Atoms (fractional coordinates):
Dy 0.5000 0.5000 0.4999
Sc 0.0795 0.0795 0.7614
Sc 0.2539 0.2539 0.2384
Tl 0.6666 0.6666 0.0003

Properties
**Total energy**: -4.9779 eV per atom
**Formation enthalpy at 0 K**: -0.3 eV/f.u.
**Total moment**: 0.0 μB per formula unit
**Relative energy among the computed polymorphs**: 42 kJ/mol of formula units
**Density of states at the Fermi level**: 1.2407 states/eV/atom



Crystalline Dy2ScTl2 at its relaxed geometry, computed with PBE-GGA.

a b c (Å): 4.4261 7.8991 7.8991
angles (deg): 90.00 90.00 90.00
Atoms (fractional coordinates):
Dy 0.5000 0.1709 0.6709
Dy 0.5000 0.6709 0.8291
Dy 0.5000 0.8291 0.3291
Dy 0.5000 0.3291 0.1709
Sc 0.0000 0.0000 0.0000
Sc 0.0000 0.5000 0.5000
Tl 0.0000 0.3652 0.8652
Tl 0.0000 0.8652 0.6348
Tl 0.0000 0.6348 0.1348
Tl 0.0000 0.1348 0.3652

Properties
**Total energy**: -4.3392 eV per atom
**Formation enthalpy at 0 K**: -1.4 eV/f.u.
**Total moment**: 0.0 μB per formula unit
**Density of states at the Fermi level**: 1.0924 states/eV/atom



Crystalline DySc5Tl2 at its relaxed geometry, computed with PBE-GGA.

a b c (Å): 3.4704 7.9155 7.9155
angles (deg): 75.49 77.34 77.34
Each line ends with the local moment (μB).
Atoms (fractional coordinates):
Dy 0.0000 0.0000 0.0000  0.05
Sc 0.0000 0.5000 0.5000  0.13
Sc 0.6306 0.5929 0.1458  0.14
Sc 0.3694 0.4071 0.8542  0.14
Sc 0.3694 0.8542 0.4071  0.14
Sc 0.6306 0.1458 0.5929  0.14
Tl 0.7420 0.7580 0.7580  0.00
Tl 0.2580 0.2420 0.2420  0.00

Properties
**Total energy**: -5.2602 eV per atom
**Formation enthalpy at 0 K**: -1.1 eV/f.u.
**Total moment**: 1.3 μB per formula unit
**Density of states at the Fermi level**: 1.4464 states/eV/atom



Crystalline Dy3ScTl4 at its relaxed geometry, computed with PBE-GGA.

a b c (Å): 3.7022 3.7022 15.3330
angles (deg): 90.00 90.00 90.00
Atoms (fractional coordinates):
Sc 0.5000 0.5000 0.0000
Tl 0.0000 0.0000 0.8871
Tl 0.0000 0.0000 0.1129
Tl 0.0000 0.0000 0.3702
Tl 0.0000 0.0000 0.6298
Dy 0.5000 0.5000 0.2412
Dy 0.5000 0.5000 0.5000
Dy 0.5000 0.5000 0.7588

Properties
**Total energy**: -4.0235 eV per atom
**Formation enthalpy at 0 K**: -2.6 eV/f.u.
**Total moment**: 0.0 μB per formula unit
**Relative energy among the computed polymorphs**: 0 kJ/mol of formula units
**Density of states at the Fermi level**: 0.6408 states/eV/atom



Crystalline Dy2Sc2Tl3 at its relaxed geometry, computed with PBE-GGA.

a b c (Å): 4.4897 3.3721 12.1660
angles (deg): 90.00 79.37 90.00
Each line ends with the local moment (μB).
Atoms (fractional coordinates):
Dy 0.5737 0.5000 0.8527  0.22
Dy 0.4263 0.5000 0.1473  0.22
Sc 0.7065 0.5000 0.5869  -0.10
Sc 0.2935 0.5000 0.4131  -0.10
Tl 0.8437 0.0000 0.3127  0.00
Tl 0.0000 0.0000 0.0000  0.00
Tl 0.1563 0.0000 0.6873  0.00

Properties
**Total energy**: -4.3076 eV per atom
**Formation enthalpy at 0 K**: -1.2 eV/f.u.
**Total moment**: 0.3 μB per formula unit
**Density of states at the Fermi level**: 1.0257 states/eV/atom



Crystalline DySc5Tl3 at its relaxed geometry, computed with PBE-GGA.

a b c (Å): 6.3941 8.8564 8.8559
angles (deg): 120.00 90.00 90.00
Each line ends with the local moment (μB).
Atoms (fractional coordinates):
Dy 0.0000 0.0000 0.0000  0.05
Dy 0.5000 0.0000 0.0000  0.05
Sc 0.0000 0.6667 0.3333  0.27
Sc 0.5000 0.3333 0.6667  0.27
Sc 0.0000 0.3333 0.6667  0.27
Sc 0.5000 0.6667 0.3333  0.27
Sc 0.7500 0.6636 0.6636  0.14
Sc 0.7500 0.0000 0.3364  0.14
Sc 0.7500 0.3363 0.0000  0.14
Sc 0.2500 0.3364 0.3364  0.14
Sc 0.2500 0.0000 0.6636  0.14
Sc 0.2500 0.6637 0.0000  0.14
Tl 0.7500 0.3357 0.3357  -0.01
Tl 0.7500 0.0000 0.6643  -0.01
Tl 0.7500 0.6643 0.0000  -0.01
Tl 0.2500 0.6643 0.6643  -0.01
Tl 0.2500 0.0000 0.3357  -0.01
Tl 0.2500 0.3357 0.0000  -0.01

Properties
**Total energy**: -5.0819 eV per atom
**Formation enthalpy at 0 K**: -2.4 eV/f.u.
**Total moment**: 1.4 μB per formula unit
**Relative energy among the computed polymorphs**: 0 kJ/mol of formula units
**Density of states at the Fermi level**: 1.1369 states/eV/atom



Crystalline DySc2Tl at its relaxed geometry, computed with PBE-GGA.

a b c (Å): 4.4939 6.3192 8.0434
angles (deg): 90.00 90.00 110.84
Atoms (fractional coordinates):
Dy 0.9421 0.8841 0.2500
Dy 0.0579 0.1159 0.7500
Sc 0.3687 0.7373 0.5515
Sc 0.6313 0.2627 0.4485
Sc 0.3687 0.7373 0.9485
Sc 0.6313 0.2627 0.0515
Tl 0.7743 0.5483 0.7500
Tl 0.2257 0.4517 0.2500

Properties
**Total energy**: -5.0100 eV per atom
**Formation enthalpy at 0 K**: -0.4 eV/f.u.
**Total moment**: 0.0 μB per formula unit
**Relative energy among the computed polymorphs**: 30 kJ/mol of formula units
**Density of states at the Fermi level**: 1.2482 states/eV/atom



Crystalline Dy5ScTl3 at its relaxed geometry, computed with PBE-GGA.

a b c (Å): 6.6382 9.3072 9.3073
angles (deg): 120.00 90.00 90.00
Each line ends with the local moment (μB).
Atoms (fractional coordinates):
Dy 0.0000 0.6667 0.3333  0.09
Dy 0.5000 0.3333 0.6667  0.09
Dy 0.0000 0.3333 0.6667  0.09
Dy 0.5000 0.6667 0.3333  0.09
Dy 0.7500 0.6766 0.6766  0.11
Dy 0.7500 0.0000 0.3234  0.11
Dy 0.7500 0.3234 0.0000  0.11
Dy 0.2500 0.3234 0.3234  0.11
Dy 0.2500 0.0000 0.6766  0.11
Dy 0.2500 0.6766 0.0000  0.11
Sc 0.0000 0.0000 0.0000  0.38
Sc 0.5000 0.0000 0.0000  0.38
Tl 0.7500 0.3386 0.3386  -0.01
Tl 0.7500 0.0000 0.6614  -0.01
Tl 0.7500 0.6613 0.0000  -0.01
Tl 0.2500 0.6614 0.6614  -0.01
Tl 0.2500 0.0000 0.3386  -0.01
Tl 0.2500 0.3387 0.0000  -0.01

Properties
**Total energy**: -4.2998 eV per atom
**Formation enthalpy at 0 K**: -2.3 eV/f.u.
**Total moment**: 1.2 μB per formula unit
**Density of states at the Fermi level**: 1.2344 states/eV/atom



Crystalline Dy3Sc2Tl3 at its relaxed geometry, computed with PBE-GGA.

a b c (Å): 4.3617 4.8097 10.6028
angles (deg): 103.11 101.87 90.00
Each line ends with the local moment (μB).
Atoms (fractional coordinates):
Dy 0.6227 0.6227 0.2455  0.14
Dy 0.3773 0.3773 0.7545  0.14
Dy 0.5000 0.0000 0.0000  0.21
Sc 0.7421 0.2421 0.4841  0.06
Sc 0.2579 0.7579 0.5159  0.06
Tl 0.1375 0.1375 0.2750  0.00
Tl 0.0000 0.5000 0.0000  0.01
Tl 0.8625 0.8625 0.7250  0.00

Properties
**Total energy**: -4.4401 eV per atom
**Formation enthalpy at 0 K**: -2.0 eV/f.u.
**Total moment**: 0.9 μB per formula unit
**Density of states at the Fermi level**: 1.1360 states/eV/atom



Crystalline DySc5Tl4 at its relaxed geometry, computed with PBE-GGA.

a b c (Å): 7.2717 9.4580 8.1059
angles (deg): 90.00 90.00 90.00
Atoms (fractional coordinates):
Dy 0.5399 0.0000 0.0000
Dy 0.4601 0.5000 0.5000
Sc 0.2222 0.7694 0.7878
Sc 0.2222 0.2306 0.7878
Sc 0.8942 0.5000 0.0000
Sc 0.2222 0.7694 0.2122
Sc 0.2222 0.2306 0.2122
Sc 0.7778 0.7306 0.2878
Sc 0.7778 0.2694 0.2878
Sc 0.1058 0.0000 0.5000
Sc 0.7778 0.2694 0.7122
Sc 0.7778 0.7306 0.7122
Tl 0.9386 0.0000 0.8175
Tl 0.5261 0.6607 0.0000
Tl 0.5261 0.3393 0.0000
Tl 0.9386 0.0000 0.1825
Tl 0.0614 0.5000 0.3175
Tl 0.4739 0.8393 0.5000
Tl 0.4739 0.1607 0.5000
Tl 0.0614 0.5000 0.6825

Properties
**Total energy**: -4.5181 eV per atom
**Formation enthalpy at 0 K**: 0.5 eV/f.u.
**Total moment**: 0.0 μB per formula unit
**Relative energy among the computed polymorphs**: 255 kJ/mol of formula units
**Density of states at the Fermi level**: 0.9051 states/eV/atom



Crystalline Dy12Sc5Tl2 at its relaxed geometry, computed with PBE-GGA.

a b c (Å): 9.1077 8.6995 8.2358
angles (deg): 91.18 90.00 121.56
Atoms (fractional coordinates):
Dy 0.9086 0.8172 0.1168
Dy 0.0320 0.6918 0.7637
Dy 0.6598 0.6918 0.7637
Dy 0.1761 0.7528 0.3503
Dy 0.5766 0.7528 0.3503
Dy 0.4443 0.8886 0.6774
Dy 0.5557 0.1114 0.3226
Dy 0.8239 0.2472 0.6497
Dy 0.4234 0.2472 0.6497
Dy 0.9680 0.3082 0.2363
Dy 0.3402 0.3082 0.2363
Dy 0.0914 0.1828 0.8832
Sc 0.2348 0.4695 0.5826
Sc 0.3148 0.6296 0.9964
Sc 0.0000 0.0000 0.5000
Sc 0.6852 0.3704 0.0036
Sc 0.7652 0.5305 0.4174
Tl 0.6830 0.0000 0.0000
Tl 0.3170 0.0000 0.0000

Properties
**Total energy**: -4.7705 eV per atom
**Formation enthalpy at 0 K**: 1.0 eV/f.u.
**Total moment**: 0.0 μB per formula unit
**Density of states at the Fermi level**: 1.5534 states/eV/atom



Crystalline DySc2Tl at its relaxed geometry, computed with PBE-GGA.

a b c (Å): 5.2017 5.2017 5.2017
angles (deg): 60.00 60.00 60.00
Each line ends with the local moment (μB).
Atoms (fractional coordinates):
Sc 0.2500 0.2500 0.2500  0.36
Sc 0.7500 0.7500 0.7500  0.36
Tl 0.5000 0.5000 0.5000  0.00
Dy 0.0000 0.0000 0.0000  0.52

Properties
**Total energy**: -4.9292 eV per atom
**Formation enthalpy at 0 K**: -0.1 eV/f.u.
**Total moment**: 1.8 μB per formula unit
**Relative energy among the computed polymorphs**: 61 kJ/mol of formula units
**Density of states at the Fermi level**: 1.2469 states/eV/atom



Crystalline DySc5Tl3 at its relaxed geometry, computed with PBE-GGA.

a b c (Å): 7.9311 7.9311 9.1660
angles (deg): 115.64 115.64 90.00
Atoms (fractional coordinates):
Dy 0.7500 0.2500 0.5000
Dy 0.2500 0.7500 0.5000
Sc 0.0763 0.5763 0.7166
Sc 0.6403 0.1403 0.7166
Sc 0.1403 0.0763 0.7166
Sc 0.5763 0.6403 0.7166
Sc 0.9237 0.4237 0.2834
Sc 0.3597 0.8597 0.2834
Sc 0.8597 0.9237 0.2834
Sc 0.4237 0.3597 0.2834
Sc 0.5000 0.5000 0.0000
Sc 0.0000 0.0000 0.0000
Tl 0.6216 0.1216 0.0000
Tl 0.3784 0.8784 0.0000
Tl 0.8784 0.6216 0.0000
Tl 0.1216 0.3784 0.0000
Tl 0.2500 0.2500 0.5000
Tl 0.7500 0.7500 0.5000

Properties
**Total energy**: -4.7375 eV per atom
**Formation enthalpy at 0 K**: 0.7 eV/f.u.
**Total moment**: 0.0 μB per formula unit
**Relative energy among the computed polymorphs**: 299 kJ/mol of formula units
**Density of states at the Fermi level**: 1.4092 states/eV/atom